1.
# PBE Nb2Ga2Sb, optimized geometry
data_Nb2Ga2Sb
_cell_length_a 7.0774
_cell_length_b 7.0774
_cell_length_c 3.6430
_cell_angle_alpha 90.00
_cell_angle_beta 90.00
_cell_angle_gamma 90.00
_space_group_name_H-M_alt 'P 4/m b m'
_space_group_IT_number 127
_space_group_name_Hall '-P 4 2ab'
loop_
_atom_site_label
_atom_site_fract_x
_atom_site_fract_y
_atom_site_fract_z
Nb1 0.1797 0.3203 0.0000
Ga1 0.1219 0.6219 0.5000
Sb1 0.0000 0.0000 0.5000
# VASP energy, eV/atom: -6.024
# Energy relative to the elements, uncorrected, eV per formula unit: 0.2
# Relative energy among the computed polymorphs, eV/f.u.: 0.61

2.
# PBE RbPr2PdO4, optimized geometry
data_RbPr2PdO4
_cell_length_a 3.6002
_cell_length_b 12.4484
_cell_length_c 12.8702
_cell_angle_alpha 90.00
_cell_angle_beta 90.00
_cell_angle_gamma 90.00
_space_group_name_H-M_alt 'C m c m'
_space_group_IT_number 63
_space_group_name_Hall '-C 2c 2'
loop_
_atom_site_label
_atom_site_fract_x
_atom_site_fract_y
_atom_site_fract_z
Rb1 0.0000 0.1081 0.2500
Pr1 0.0000 0.3672 0.0574
Pd1 0.0000 0.1593 0.7500
O1 0.0000 0.0000 0.0000
O2 0.0000 0.2565 0.5921
O3 0.0000 0.4323 0.2500
# VASP energy, eV/atom: -6.583
# Energy relative to the elements, uncorrected, eV per formula unit: -17.1

3.
# PBE Nd5Ho2In4, optimized geometry
data_Nd5Ho2In4
_cell_length_a 8.8068
_cell_length_b 3.4487
_cell_length_c 10.7541
_cell_angle_alpha 90.00
_cell_angle_beta 95.45
_cell_angle_gamma 90.00
_space_group_name_H-M_alt 'P 1 2/m 1'
_space_group_IT_number 10
loop_
_space_group_symop_operation_xyz
'x,y,z'
'-x,-y,-z'
'-x,y,-z'
'x,-y,z'
loop_
_atom_site_label
_atom_site_fract_x
_atom_site_fract_y
_atom_site_fract_z
Nd1 0.0000 0.0000 0.0000
Nd2 0.0386 0.0000 0.3352
Nd3 0.3426 0.0000 0.8594
Ho1 0.4183 0.0000 0.3622
In1 0.2591 0.5000 0.5759
In2 0.2992 0.5000 0.1256
# VASP energy, eV/atom: -4.285
# Energy relative to the elements, eV/f.u.: -3.18
# Relative energy among the computed polymorphs, eV/f.u.: 0.00

4.
# PBE TbEr4Sc5, optimized geometry
data_TbEr4Sc5
_cell_length_a 9.6981
_cell_length_b 9.6981
_cell_length_c 6.0259
_cell_angle_alpha 90.00
_cell_angle_beta 90.00
_cell_angle_gamma 90.00
_space_group_name_H-M_alt 'I 4'
_space_group_IT_number 79
loop_
_space_group_symop_operation_xyz
'x,y,z'
'-y,x,z'
'-x,-y,z'
'y,-x,z'
'x+1/2,y+1/2,z+1/2'
'-y+1/2,x+1/2,z+1/2'
'-x+1/2,-y+1/2,z+1/2'
'y+1/2,-x+1/2,z+1/2'
loop_
_atom_site_label
_atom_site_fract_x
_atom_site_fract_y
_atom_site_fract_z
Tb1 0.0000 0.0000 0.0000
Er1 0.0493 0.3435 0.7765
Sc1 0.0000 0.0000 0.5387
Sc2 0.1430 0.2289 0.2831
# VASP energy, eV/atom: -5.153
# Energy relative to the elements, eV/f.u.: 3.01
# Relative energy among the computed polymorphs, eV/f.u.: 0.42

Which of these has the highest VASP energy?
Nd5Ho2In4

The highest VASP energy belongs to which entry?
Nd5Ho2In4

Copy entry 3 word for word.
# PBE Nd5Ho2In4, optimized geometry
data_Nd5Ho2In4
_cell_length_a 8.8068
_cell_length_b 3.4487
_cell_length_c 10.7541
_cell_angle_alpha 90.00
_cell_angle_beta 95.45
_cell_angle_gamma 90.00
_space_group_name_H-M_alt 'P 1 2/m 1'
_space_group_IT_number 10
loop_
_space_group_symop_operation_xyz
'x,y,z'
'-x,-y,-z'
'-x,y,-z'
'x,-y,z'
loop_
_atom_site_label
_atom_site_fract_x
_atom_site_fract_y
_atom_site_fract_z
Nd1 0.0000 0.0000 0.0000
Nd2 0.0386 0.0000 0.3352
Nd3 0.3426 0.0000 0.8594
Ho1 0.4183 0.0000 0.3622
In1 0.2591 0.5000 0.5759
In2 0.2992 0.5000 0.1256
# VASP energy, eV/atom: -4.285
# Energy relative to the elements, eV/f.u.: -3.18
# Relative energy among the computed polymorphs, eV/f.u.: 0.00

What is the formula in the first record?
Nb2Ga2Sb